(1)
Entry from Alexandria: Rb3In2Hg8 after structural relaxation (PBE).

Geometry as extended XYZ:
```
13
Lattice="-1.983 1.077 -6.762 3.041 -3.748 -5.247 -7.892 -9.129 -2.897" Properties=species:S:1:pos:R:3 pbc="T T T"
Rb -4.780 -8.504 -11.226
Hg -4.245 -3.538 -6.834
Rb 0.000 0.000 0.000
In -1.520 -4.004 -7.708
Rb -2.054 -3.295 -3.680
Hg -7.419 -9.898 -6.917
Hg -4.338 -6.106 -5.054
In -5.314 -7.795 -7.199
Hg -2.589 -8.262 -8.072
Hg -1.354 -6.313 -5.962
Hg -2.495 -5.694 -9.852
Hg 0.585 -1.901 -7.990
Hg -5.479 -5.486 -8.944
```

Calculated values
As for the formation energy: -125 meV per atom. The volume comes out at 39.6 A^3/atom. The value obtained for the density of states at the Fermi level is 0.3705 states/eV/atom. The value obtained for the spin magnetization is 0.0 μB/f.u. As for the space group: R-3m (166).

(2)
Entry from Alexandria: Sm2Cu4Se5 after structural relaxation (PBE).

Geometry as extended XYZ:
```
11
Lattice="4.049 0.000 0.000 2.025 3.507 0.000 2.025 1.169 16.773" Properties=species:S:1:pos:R:3 pbc="T T T"
Cu 6.074 3.507 15.805
Cu 2.025 1.169 0.968
Cu 4.049 2.338 4.052
Se 4.049 2.338 1.629
Se 4.049 2.338 15.143
Cu 4.049 2.338 12.721
Se 4.049 2.338 8.386
Se 6.074 3.507 11.962
Sm 6.074 3.507 6.609
Se 2.025 1.169 4.811
Sm 2.025 1.169 10.164
```

Calculated values
The volume comes out at 21.7 A^3/atom. The value obtained for the density of states at the Fermi level is 0.5243 states/eV/atom. The value obtained for the spin magnetization is 0.0 μB/f.u. As for the space group: R-3m (166). For the formation energy from raw total energies, the calculation gives -8.70 eV per formula unit.

(3)
Entry from Alexandria: Sc3SbC after structural relaxation (PBE).

Geometry as extended XYZ:
```
20
Lattice="12.025 0.000 0.556 4.894 6.258 -2.423 -4.894 6.258 2.423" Properties=species:S:1:pos:R:3 pbc="T T T"
Sc 10.707 10.101 0.627
Sc 1.318 2.414 -0.071
Sc 7.184 10.505 0.185
Sb 10.278 7.251 1.033
Sc 10.853 4.247 0.650
Sb 9.160 5.265 -1.667
Sb 2.865 7.251 2.223
Sc 10.704 0.870 0.587
Sc 7.331 3.844 0.207
Sb 1.747 5.265 -0.477
C 6.572 8.841 1.628
Sc 4.694 8.672 0.349
C 6.572 5.442 1.628
C 5.453 3.675 -1.072
Sc 1.321 11.646 -0.031
Sc 1.172 8.268 -0.093
Sc 7.334 7.127 0.247
C 5.453 7.074 -1.072
Sc 4.841 2.011 0.372
Sc 4.691 5.388 0.309
```

Calculated values
The volume comes out at 19.9 A^3/atom. The value obtained for the density of states at the Fermi level is 1.2256 states/eV/atom. The value obtained for the spin magnetization is 0.0 μB/f.u. As for the space group: C2/c (15). For the formation energy from raw total energies, the calculation gives -3.25 eV per formula unit.

(4)
Entry from Alexandria: SrMnTl2 after structural relaxation (PBE).

Geometry as extended XYZ:
```
4
Lattice="-0.970 -0.303 -4.691 2.829 -2.599 -2.878 -2.698 -5.668 -1.524" Properties=species:S:1:pos:R:3 pbc="T T T"
Mn -0.629 -6.428 -6.820
Tl -0.731 -4.725 -4.452
Sr -0.210 -2.143 -2.273
Tl -2.387 -5.228 -1.618
```

Calculated values
As for the formation energy: 45 meV per atom. The volume comes out at 29.1 A^3/atom. The value obtained for the density of states at the Fermi level is 0.7132 states/eV/atom. The value obtained for the spin magnetization is 4.4 μB/f.u. As for the space group: C2/m (12).

(5)
Entry from Alexandria: Na3Li2RuO6 after structural relaxation (PBE).

Geometry as extended XYZ:
```
12
Lattice="5.316 -0.001 0.000 -2.658 4.604 0.000 -0.886 -1.535 5.287" Properties=species:S:1:pos:R:3 pbc="T T T"
O 1.600 0.002 1.089
O 1.868 3.234 1.089
Na -1.693 3.023 2.644
O 2.570 1.680 4.198
Na 3.465 0.044 2.644
Ru 0.000 0.000 0.000
O 0.171 3.066 4.198
O -0.798 1.387 1.089
Li -0.006 3.072 0.000
Li 2.664 1.530 0.000
O -0.096 -0.166 4.198
Na 0.886 1.534 2.644
```

Calculated values
The volume comes out at 10.8 A^3/atom. The value obtained for the density of states at the Fermi level is 0.3900 states/eV/atom. The value obtained for the spin magnetization is 1.0 μB/f.u. As for the space group: C2/m (12). For the formation energy from raw total energies, the calculation gives -16.74 eV per formula unit.

(6)
Entry from Alexandria: TlSn2Hg after structural relaxation (PBE).

Geometry as extended XYZ:
```
4
Lattice="0.000 3.818 3.818 3.818 0.000 3.818 3.818 3.818 0.000" Properties=species:S:1:pos:R:3 pbc="T T T"
Sn 5.727 5.727 5.727
Hg 0.000 0.000 0.000
Sn 1.909 1.909 1.909
Tl 3.818 3.818 3.818
```

Calculated values
As for the formation energy: 92 meV per atom. The volume comes out at 27.8 A^3/atom. The value obtained for the density of states at the Fermi level is 0.5132 states/eV/atom. The calculation puts the offset from the most stable computed form at 77 meV per atom. The value obtained for the spin magnetization is 0.0 μB/f.u. As for the space group: Fm-3m (225).